Record 1
A relaxed structure of Cs2NdAsS4. Source: Alexandria, functional GGA-PBE.

Results
Crystal system: orthorhombic
Calculated volume (Å³ per atom): 41.0
Total DFT energy (no corrections) (eV per atom): -4.46
M_tot (μB per formula unit): 0.00

Structure (POSCAR):
```
Cs2NdAsS4
1.0
-4.9422 2.6443 -3.9303
-7.4261 0.1060 3.4473
-0.0569 13.0294 2.8755
Cs Nd S As
4 2 8 2
direct
0.5677 0.5000 0.8647 Cs
0.1823 0.0000 0.6353 Cs
0.8177 0.0000 0.3647 Cs
0.9323 0.5000 0.1353 Cs
0.7500 0.5000 0.5000 Nd
0.0000 0.0000 0.0000 Nd
0.5270 0.3071 0.5994 S
0.3165 0.8071 0.0994 S
0.1659 0.3071 0.4006 S
0.5841 0.1929 0.0994 S
0.8736 0.6929 0.5994 S
0.8764 0.8071 0.9006 S
0.4335 0.6929 0.4006 S
0.2230 0.1929 0.9006 S
0.5000 0.0000 0.0000 As
0.2500 0.5000 0.5000 As
```


Record 2
A relaxed structure of LaCr3Rh. Source: Alexandria, functional GGA-PBE.

Results
ΔE_f (eV/atom): 1.987
Crystal system: cubic
Calculated volume (Å³ per atom): 17.0
Total DFT energy (no corrections) (eV per atom): -6.24
ΔE to the lowest computed polymorph (eV/f.u.): 6.16
M_tot (μB per formula unit): 0.00

Structure (POSCAR):
```
LaCr3Rh
1.0
4.3993 0.0000 0.0000
0.0000 4.3993 0.0000
0.0000 0.0000 4.3993
Cr La Rh
3 1 1
direct
0.5000 0.0000 0.0000 Cr
0.0000 0.0000 0.5000 Cr
0.0000 0.5000 0.0000 Cr
0.0000 0.0000 0.0000 La
0.5000 0.5000 0.5000 Rh
```


Record 3
A relaxed structure of AcCeSi3. Source: Alexandria, functional GGA-PBE.

Results
Crystal system: orthorhombic
Calculated volume (Å³ per atom): 23.3
Total DFT energy (no corrections) (eV per atom): -5.86
ΔE to the lowest computed polymorph (eV/f.u.): 0.00
M_tot (μB per formula unit): 0.69

Structure (POSCAR):
```
AcCeSi3
1.0
-1.1604 3.8715 0.0887
-0.7667 -0.1266 -4.5059
-11.5218 -3.5537 4.3803
Si Ce Ac
6 2 2
direct
0.2500 0.3772 0.7543 Si
0.7500 0.6228 0.2457 Si
0.7500 0.5254 0.0507 Si
0.2500 0.4746 0.9493 Si
0.7500 0.3217 0.6434 Si
0.2500 0.6783 0.3566 Si
0.2500 0.7974 0.5948 Ce
0.7500 0.2026 0.4052 Ce
0.7500 0.9290 0.8580 Ac
0.2500 0.0710 0.1420 Ac
```


Record 4
A relaxed structure of CsSeSCl2. Source: Alexandria, functional GGA-PBE.

Results
Crystal system: tetragonal
Calculated volume (Å³ per atom): 46.5
Total DFT energy (no corrections) (eV per atom): -1.86
ΔE to the lowest computed polymorph (eV/f.u.): 5.94
M_tot (μB per formula unit): 4.01

Structure (POSCAR):
```
CsSeSCl2
1.0
-4.4823 -4.3738 1.2453
4.2161 -4.6521 -1.1637
1.5222 0.0048 5.4958
Se Cl Cs S
1 2 1 1
direct
0.5000 0.5000 0.5000 Se
0.0000 0.5000 0.0000 Cl
0.5000 0.0000 0.0000 Cl
0.0000 0.0000 0.0000 Cs
0.0000 0.0000 0.5000 S
```


Record 5
A relaxed structure of Nd4GeAs2S. Source: Alexandria, functional GGA-PBE.

Results
Crystal system: monoclinic
Calculated volume (Å³ per atom): 26.9
Total DFT energy (no corrections) (eV per atom): -6.13
M_tot (μB per formula unit): 0.00

Structure (POSCAR):
```
Nd4GeAs2S
1.0
-2.5059 -0.5870 3.3514
3.5534 -6.2311 1.5657
5.6369 1.4660 4.4717
Ge Nd As S
1 4 2 1
direct
0.0000 0.5000 0.5000 Ge
0.0000 0.7494 0.7489 Nd
0.0000 0.2506 0.2511 Nd
0.5000 0.2504 0.7516 Nd
0.5000 0.7496 0.2484 Nd
0.5000 0.0000 0.5000 As
0.0000 0.0000 0.0000 As
0.5000 0.5000 0.0000 S
```


Record 6
A relaxed structure of MgAs2PtAu. Source: Alexandria, functional GGA-PBE.

Results
ΔE_f (eV/atom): 0.293
Crystal system: tetragonal
Calculated volume (Å³ per atom): 24.4
Total DFT energy (no corrections) (eV per atom): -3.75
M_tot (μB per formula unit): 0.00

Structure (POSCAR):
```
MgAs2PtAu
1.0
-1.0753 -4.6990 -0.5060
3.8291 -1.2304 3.2888
-3.0944 0.3077 3.7179
Pt Au As Mg
1 1 2 1
direct
0.0000 0.0000 0.0000 Pt
0.0000 0.5000 0.0000 Au
0.0000 0.0000 0.5000 As
0.5000 0.0000 0.0000 As
0.5000 0.5000 0.5000 Mg
```